(1)
Computed, not measured: a relaxed structure of Ho3Sn2Au at the PBE level of DFT.

Properties
For the energy of formation from the pure elements, the calculation gives -0.72 eV/atom. As for the space group: Pnma, No. 62.

Cell lengths 12.1508, 4.5304, 11.6201 Å; angles 90.00, 90.00, 90.00 degrees
Closest atoms and distances in Å follow each position.
Positions (direct):
1 Ho 0.0490 0.2500 0.1241  1 Au 2.96, 5 Sn 3.09-3.26
2 Ho 0.1286 0.7500 0.5618  5 Sn 3.15-3.31, 3 Au 3.23-3.28, 1 Ho 3.50
3 Ho 0.2231 0.2500 0.8037  2 Au 2.95, 1 Sn 3.04
4 Ho 0.2769 0.7500 0.3037  2 Au 2.95, 1 Sn 3.04
5 Ho 0.3714 0.2500 0.0618  5 Sn 3.15-3.31, 3 Au 3.23-3.28, 1 Ho 3.50
6 Ho 0.4510 0.7500 0.6241  1 Au 2.96, 5 Sn 3.09-3.26
7 Ho 0.5490 0.2500 0.3759  1 Au 2.96, 5 Sn 3.09-3.26
8 Ho 0.6286 0.7500 0.9382  5 Sn 3.15-3.31, 3 Au 3.23-3.28, 1 Ho 3.50
9 Ho 0.7231 0.2500 0.6963  2 Au 2.95, 1 Sn 3.04
10 Ho 0.7769 0.7500 0.1963  2 Au 2.95, 1 Sn 3.04
11 Ho 0.8714 0.2500 0.4382  5 Sn 3.15-3.31, 3 Au 3.23-3.28, 1 Ho 3.50
12 Ho 0.9510 0.7500 0.8759  1 Au 2.96, 5 Sn 3.09-3.26
13 Sn 0.0025 0.7500 0.3098  2 Au 2.83, 3 Ho 3.04-3.15
14 Sn 0.1852 0.7500 0.0136  1 Au 2.82, 2 Ho 3.09
15 Sn 0.3148 0.2500 0.5136  1 Au 2.82, 2 Ho 3.09
16 Sn 0.4975 0.2500 0.8098  2 Au 2.83, 3 Ho 3.04-3.15
17 Sn 0.5025 0.7500 0.1902  2 Au 2.83, 3 Ho 3.04-3.15
18 Sn 0.6852 0.7500 0.4864  1 Au 2.82, 2 Ho 3.09
19 Sn 0.8148 0.2500 0.9864  1 Au 2.82, 2 Ho 3.09
20 Sn 0.9975 0.2500 0.6902  2 Au 2.83, 3 Ho 3.04-3.15
21 Au 0.1320 0.2500 0.3639  3 Sn 2.82-2.83, 3 Ho 2.95-2.96
22 Au 0.3680 0.7500 0.8639  3 Sn 2.82-2.83, 3 Ho 2.95-2.96
23 Au 0.6320 0.2500 0.1361  3 Sn 2.82-2.83, 3 Ho 2.95-2.96
24 Au 0.8680 0.7500 0.6361  3 Sn 2.82-2.83, 3 Ho 2.95-2.96

***

(2)
Computed, not measured: a relaxed structure of Co2PtBr at the PBE level of DFT.

Properties
The value obtained for the energy above the most stable polymorph in this dataset is 118 meV/atom. As for the space group: Cm, No. 8. Its uncorrected formation energy is 0.417 eV per atom.

Cell lengths 4.0107, 4.0107, 6.2681 Å; angles 95.10, 95.10, 46.87 degrees
Closest atoms and distances in Å follow each position.
Positions (direct):
1 Co 0.0000 0.0000 0.0000  3 Co 2.33-2.40, 1 Br 2.61
2 Co 0.6859 0.6859 0.8578  3 Co 2.33-2.40, 3 Pt 2.44-2.51
3 Pt 0.3796 0.3796 0.6706  5 Co 2.44-2.69, 1 Br 2.60
4 Br 0.3019 0.3019 0.2564  1 Pt 2.60, 3 Co 2.61-2.78

***

(3)
Computed, not measured: a relaxed structure of Ta2Pd2Ru at the PBE level of DFT.

Properties
For the energy of formation from the pure elements, the calculation gives -0.01 eV/atom. As for the space group: P4/mbm, No. 127.

Cell lengths 7.1965, 7.1965, 3.2027 Å; angles 90.00, 90.00, 90.00 degrees
Closest atoms and distances in Å follow each position.
Positions (direct):
1 Ta 0.1788 0.3212 0.0000  6 Pd 2.54-2.75
2 Ta 0.3212 0.8212 0.0000  6 Pd 2.54-2.75
3 Ta 0.6788 0.1788 0.0000  6 Pd 2.54-2.75
4 Ta 0.8212 0.6788 0.0000  6 Pd 2.54-2.75
5 Pd 0.1269 0.6269 0.5000  6 Ta 2.54-2.75, 1 Pd 2.58, 2 Ru 2.84
6 Pd 0.3731 0.1269 0.5000  6 Ta 2.54-2.75, 1 Pd 2.58, 2 Ru 2.84
7 Pd 0.6269 0.8731 0.5000  6 Ta 2.54-2.75, 1 Pd 2.58, 2 Ru 2.84
8 Pd 0.8731 0.3731 0.5000  6 Ta 2.54-2.75, 1 Pd 2.58, 2 Ru 2.84
9 Ru 0.0000 0.0000 0.5000  4 Pd 2.84, 8 Ta 3.09
10 Ru 0.5000 0.5000 0.5000  4 Pd 2.84, 8 Ta 3.09

***

(4)
Computed, not measured: a relaxed structure of Ho2Tm5Co2 at the PBE level of DFT.

Properties
For the energy of formation from the pure elements, the calculation gives -0.09 eV/atom. As for the space group: Cmce, No. 64.

Cell lengths 10.2802, 10.2802, 6.8949 Å; angles 90.00, 90.00, 39.52 degrees
Closest atoms and distances in Å follow each position.
Positions (direct):
1 Ho 0.2321 0.2321 0.0000  6 Tm 3.52-3.59, 4 Ho 3.52-3.54
2 Ho 0.2679 0.2679 0.5000  6 Tm 3.52-3.59, 4 Ho 3.52-3.54
3 Ho 0.7321 0.7321 0.5000  6 Tm 3.52-3.59, 4 Ho 3.52-3.54
4 Ho 0.7679 0.7679 0.0000  6 Tm 3.52-3.59, 4 Ho 3.52-3.54
5 Tm 0.0000 0.0000 0.0000  4 Co 2.79-2.80
6 Tm 0.0745 0.7132 0.6775  3 Co 2.89-2.94
7 Tm 0.2132 0.5745 0.1775  3 Co 2.89-2.94
8 Tm 0.2868 0.9255 0.6775  3 Co 2.89-2.94
9 Tm 0.4255 0.7868 0.1775  3 Co 2.89-2.94
10 Tm 0.5000 0.5000 0.5000  4 Co 2.79-2.80
11 Tm 0.5745 0.2132 0.8225  3 Co 2.89-2.94
12 Tm 0.7132 0.0745 0.3225  3 Co 2.89-2.94
13 Tm 0.7868 0.4255 0.8225  3 Co 2.89-2.94
14 Tm 0.9255 0.2868 0.3225  3 Co 2.89-2.94
15 Co 0.1146 0.8854 0.3889  1 Co 2.21
16 Co 0.3854 0.6146 0.8889  1 Co 2.21
17 Co 0.6146 0.3854 0.1111  1 Co 2.21
18 Co 0.8854 0.1146 0.6111  1 Co 2.21

***

What did we get for size of the total moment? Answer: 0.0 4.6 0.0 0.0 μB/f.u., in the order shown.